--- A ---
Material: TcPd3F
Method: DFT, PBE-GGA
State: optimized geometry

Cell: 4.3446 4.3446 4.3446 Å, 90.00 90.00 90.00°
Last column: nearest neighbours and their distance in Å.
Space group Pm-3m (No. 221)
Unique sites:
Tc (0.0000, 0.0000, 0.0000) [1 per cell]  12 Pd 3.07
Pd (0.0000, 0.5000, 0.5000) [3 per cell]  2 F 2.17
F (0.5000, 0.5000, 0.5000) [1 per cell]  6 Pd 2.17

Output
Theoretical density: 8.83 Mg/m³

***

--- B ---
Material: TcPd3F
Method: DFT, PBE-GGA
State: optimized geometry

Cell: 4.7741 4.7741 4.7741 Å, 90.00 90.00 90.00°
Last column: nearest neighbours and their distance in Å.
Space group Pm-3m (No. 221)
Unique sites:
Tc (0.0000, 0.0000, 0.0000) [1 per cell]  6 Pd 2.39
Pd (0.0000, 0.0000, 0.5000) [3 per cell]  2 Tc 2.39
F (0.5000, 0.5000, 0.5000) [1 per cell]  12 Pd 3.38

Output
Theoretical density: 6.66 Mg/m³

***

Most favorable structure: A. The second most favorable one is 38.6 kJ/mol of atoms above it.

***

--- A ---
Material: Te3PdF
Method: DFT, PBE-GGA
State: optimized geometry

Cell: 5.2113 5.2113 5.2113 Å, 90.00 90.00 90.00°
Last column: nearest neighbours and their distance in Å.
Space group Pm-3m (No. 221)
Unique sites:
Te (0.0000, 0.0000, 0.5000) [3 per cell]  2 Pd 2.61
Pd (0.0000, 0.0000, 0.0000) [1 per cell]  6 Te 2.61
F (0.5000, 0.5000, 0.5000) [1 per cell]  12 Te 3.68

Output
Theoretical density: 5.96 Mg/m³

***

--- B ---
Material: Te3PdF
Method: DFT, PBE-GGA
State: optimized geometry

Cell: 4.9053 4.9053 4.9053 Å, 90.00 90.00 90.00°
Last column: nearest neighbours and their distance in Å.
Space group Pm-3m (No. 221)
Unique sites:
Te (0.0000, 0.0000, 0.5000) [3 per cell]  2 F 2.45
Pd (0.5000, 0.5000, 0.5000) [1 per cell]  12 Te 3.47
F (0.0000, 0.0000, 0.0000) [1 per cell]  6 Te 2.45

Output
Theoretical density: 7.15 Mg/m³

***

--- C ---
Material: Te3PdF
Method: DFT, PBE-GGA
State: optimized geometry

Cell: 5.6562 6.5409 8.3318 Å, 109.53 102.42 101.33°
Last column: nearest neighbours and their distance in Å.
Space group P1 (No. 1)
Unique sites:
Te (0.0000, 0.0000, 0.0000) [1 per cell]  2 Pd 2.70-2.80, 1 Te 2.81
Te (0.0242, 0.1903, 0.5573) [1 per cell]  2 Pd 2.65-2.94, 2 Te 2.91, 1 F 2.97
Te (0.2525, 0.6198, 0.1575) [1 per cell]  1 F 2.12
Te (0.3443, 0.9135, 0.6306) [1 per cell]  1 F 2.11
Te (0.5256, 0.5137, 0.7291) [1 per cell]  2 Pd 2.74-2.80, 1 Te 2.91
Te (0.7727, 0.3259, 0.1622) [1 per cell]  2 Pd 2.73-2.82, 2 Te 2.81-3.02
Pd (0.3345, 0.2707, 0.9166) [1 per cell]  6 Te 2.69-2.94, 2 Pd 2.87-2.99
Pd (0.8085, 0.2497, 0.8159) [1 per cell]  5 Te 2.65-2.82, 1 Pd 2.87
F (0.6103, 0.8593, 0.2346) [1 per cell]  1 Te 2.12
F (0.9913, 0.6749, 0.5650) [1 per cell]  1 Te 2.11

Output
Theoretical density: 6.22 Mg/m³

***

Most favorable structure: C. The second most favorable one is 67.6 kJ/mol of atoms above it.

***

--- A ---
Material: Te2PdF
Method: DFT, PBE-GGA
State: optimized geometry

Cell: 3.9838 4.0214 7.2184 Å, 80.45 76.91 66.09°
Last column: nearest neighbours and their distance in Å.
Space group P1 (No. 1)
Unique sites:
Te (0.0000, 0.0000, 0.0000) [1 per cell]  3 Pd 2.70-2.74
Te (0.4116, 0.3759, 0.6253) [1 per cell]  1 F 2.06
Pd (0.7048, 0.6778, 0.8155) [1 per cell]  6 Te 2.67-2.81
F (0.5390, 0.6500, 0.3685) [1 per cell]  1 Te 2.06

Output
Theoretical density: 6.16 Mg/m³

***

--- B ---
Material: Te2PdF
Method: DFT, PBE-GGA
State: optimized geometry

Cell: 3.1502 3.1502 28.4905 Å, 90.00 90.00 120.00°
Last column: nearest neighbours and their distance in Å.
Space group R-3m (No. 166, hexagonal axes)
Unique sites:
Te (0.0000, 0.0000, 0.0920) [6 per cell]  1 Pd 2.62, 3 F 2.80
Pd (0.0000, 0.0000, 0.0000) [3 per cell]  2 Te 2.62
F (0.0000, 0.0000, 0.5000) [3 per cell]  6 Te 2.80

Output
Theoretical density: 7.74 Mg/m³

***

Most favorable structure: A. The second most favorable one is 43.2 kJ/mol of atoms above it.

***

--- A ---
Material: Te2PdF
Method: DFT, PBE-GGA
State: optimized geometry

Cell: 4.1532 4.1532 21.7260 Å, 90.00 90.00 120.00°
Last column: nearest neighbours and their distance in Å.
Space group R-3m (No. 166, hexagonal axes)
Unique sites:
Te (0.0000, 0.0000, 0.1074) [6 per cell]  1 F 2.33
Pd (0.0000, 0.0000, 0.5000) [3 per cell]  6 Te 2.72
F (0.0000, 0.0000, 0.0000) [3 per cell]  2 Te 2.33

Output
Theoretical density: 5.84 Mg/m³

***

--- B ---
Material: Te2PdF
Method: DFT, PBE-GGA
State: optimized geometry

Cell: 6.6793 6.6793 6.6793 Å, 90.00 90.00 90.00°
Last column: nearest neighbours and their distance in Å.
Space group Fm-3m (No. 225)
Unique sites:
Te (0.2500, 0.2500, 0.2500) [8 per cell]  4 F 2.89, 4 Pd 2.89
Pd (0.0000, 0.0000, 0.0000) [4 per cell]  8 Te 2.89
F (0.0000, 0.0000, 0.5000) [4 per cell]  8 Te 2.89

Output
Theoretical density: 8.48 Mg/m³

***

--- C ---
Material: Te2PdF
Method: DFT, PBE-GGA
State: optimized geometry

Cell: 4.5851 4.5851 17.1620 Å, 90.00 90.00 90.00°
Last column: nearest neighbours and their distance in Å.
Space group I-42d (No. 122)
Unique sites:
Te (0.2269, 0.2500, 0.1250) [8 per cell]  2 Pd 2.65, 2 F 2.74
Pd (0.0000, 0.0000, 0.0000) [4 per cell]  4 Te 2.65
F (0.0000, 0.0000, 0.5000) [4 per cell]  4 Te 2.74

Output
Theoretical density: 7.01 Mg/m³

***

Most favorable structure: A. The second most favorable one is 8.2 kJ/mol of atoms above it.